Here is CrTcBi2O6 after structural relaxation from Alexandria via LeMat-Bulk. Energies are from PBE+U.

```
CrTcBi2O6
1.0
5.437 0.000 0.000
0.000 5.892 0.000
-5.054 0.000 7.817
Cr Tc Bi O
2 2 4 12
Direct
0.000 0.000 0.000
0.000 0.500 0.500
0.500 0.000 0.500
0.500 0.500 0.000
0.267 0.057 0.748
0.267 0.443 0.248
0.733 0.557 0.752
0.733 0.943 0.252
0.143 0.036 0.252
0.143 0.464 0.752
0.217 0.699 0.041
0.217 0.801 0.541
0.356 0.186 0.041
0.356 0.314 0.541
0.644 0.686 0.459
0.644 0.814 0.959
0.783 0.199 0.459
0.783 0.301 0.959
0.857 0.536 0.248
0.857 0.964 0.748
```

density of states at the Fermi level	2.780	states/eV/cell
total DFT energy (no corrections)	-68.4	eV per formula unit
crystal system	monoclinic